Entry 1:
A geometry-optimized BaCd2InSn structure. Source: Alexandria via LeMat-Bulk, functional PBE.

Cell: 4.831 4.947 12.547 Å, 90.00 90.00 90.00°
Space group Imm2 (No. 44)
Inequivalent atoms, fractional coordinates:
Ba 0.000 0.000 0.000
Cd 0.000 0.000 0.617
Cd 0.000 0.500 0.249
In 0.000 0.500 0.743
Sn 0.000 0.000 0.389

Summary:
The crystal system is orthorhombic. For the formation energy from the elements, the calculation gives -379 meV per atom. The total energy is -2.48 eV per atom.

=====

Entry 2:
A geometry-optimized Ba2CdIn3Sn4 structure. Source: Alexandria via LeMat-Bulk, functional PBE.

Cell: 5.325 5.325 11.265 Å, 90.00 90.00 90.00°
Space group P-4m2 (No. 115)
Inequivalent atoms, fractional coordinates:
Ba 0.000 0.500 0.248
Cd 0.000 0.000 0.500
In 0.000 0.500 0.878
In 0.500 0.500 0.500
Sn 0.000 0.000 0.000
Sn 0.000 0.500 0.625
Sn 0.500 0.500 0.000

Summary:
The crystal system is tetragonal. For the formation energy from the elements, the calculation gives -351 meV per atom. The total energy is -3.25 eV per atom.

=====

Entry 3:
A geometry-optimized BaCdInSn2 structure. Source: Alexandria via LeMat-Bulk, functional PBE.

Cell: 4.862 4.862 13.293 Å, 90.00 90.00 90.00°
Space group I-4m2 (No. 119)
Inequivalent atoms, fractional coordinates:
Ba 0.000 0.000 0.000
Cd 0.000 0.500 0.250
In 0.000 0.500 0.750
Sn 0.000 0.000 0.386

Summary:
The crystal system is tetragonal. For the formation energy from the elements, the calculation gives -354 meV per atom. The total energy is -3.07 eV per atom.

=====

Entry 4:
A geometry-optimized BaSrCdIn structure. Source: Alexandria via LeMat-Bulk, functional PBE.

Cell: 8.349 8.349 8.349 Å, 90.00 90.00 90.00°
Space group F-43m (No. 216)
Inequivalent atoms, fractional coordinates:
Ba 0.000 0.000 0.000
Sr 0.000 0.000 0.500
Cd 0.250 0.250 0.250
In 0.250 0.250 0.750

Summary:
The crystal system is cubic. For the formation energy from the elements, the calculation gives -372 meV per atom. The total energy is -2.19 eV per atom.

=====

Entry 5:
A geometry-optimized BaSrCd2In2 structure. Source: Alexandria via LeMat-Bulk, functional PBE.

Cell: 5.1531 5.1531 8.3817 Å, 90.00 90.00 120.00°
Space group P-3m1 (No. 164)
Inequivalent atoms, fractional coordinates:
Ba 0.0000 0.0000 0.0000
Sr 0.0000 0.0000 0.5000
Cd 0.3333 0.6667 0.7121
In 0.3333 0.6667 0.2836

Summary:
The crystal system is trigonal. For the formation energy from the elements, the calculation gives -402 meV per atom. The total energy is -2.22 eV per atom.

=====

Entry 6:
A geometry-optimized Ba3Sr3CdIn2 structure. Source: Alexandria via LeMat-Bulk, functional PBE.

Cell: 9.9030 9.9030 4.6173 Å, 90.00 90.00 120.00°
Space group P-62m (No. 189)
Inequivalent atoms, fractional coordinates:
Ba 0.0000 0.2639 0.0000
Sr 0.0000 0.5953 0.5000
Cd 0.0000 0.0000 0.5000
In 0.3333 0.6667 0.0000

Summary:
The crystal system is hexagonal. For the formation energy from the elements, the calculation gives -220 meV per atom. The total energy is -2.13 eV per atom.

=====

Entry 7:
A geometry-optimized BaTaCd2In structure. Source: Alexandria via LeMat-Bulk, functional PBE.

Cell: 5.522 5.522 5.750 Å, 90.00 90.00 90.00°
Space group P4/mmm (No. 123)
Inequivalent atoms, fractional coordinates:
Ba 0.000 0.000 0.000
Ta 0.000 0.000 0.500
Cd 0.000 0.500 0.500
In 0.500 0.500 0.000

Summary:
The crystal system is tetragonal. For the formation energy from the elements, the calculation gives 864 meV per atom. The total energy is -2.81 eV per atom.

=====

Entry 8:
A geometry-optimized Ba2TbCd3In4 structure. Source: Alexandria via LeMat-Bulk, functional PBE.

Cell: 4.859 4.859 13.154 Å, 90.00 90.00 90.00°
Space group P-4m2 (No. 115)
Inequivalent atoms, fractional coordinates:
Ba 0.000 0.500 0.238
Tb 0.000 0.000 0.500
Cd 0.000 0.500 0.866
Cd 0.500 0.500 0.500
In 0.000 0.000 0.000
In 0.000 0.500 0.647
In 0.500 0.500 0.000

Summary:
The crystal system is tetragonal. For the formation energy from the elements, the calculation gives -328 meV per atom. The total energy is -2.55 eV per atom.